Entry 1:
# PBE BaScIr2, optimized geometry
# E_form, eV/atom: -0.206
# Calculated total energy, eV per atom: -6.7003
data_BaScIr2
_space_group_name_H-M_alt 'A m m 2'
_space_group_IT_number 38
_space_group_name_Hall 'A 2 -2'
_cell_length_a 4.5031
_cell_length_b 4.1919
_cell_length_c 11.6030
_cell_angle_alpha 90.00
_cell_angle_beta 90.00
_cell_angle_gamma 90.00
loop_
_atom_site_label
_atom_site_type_symbol
_atom_site_fract_x
_atom_site_fract_y
_atom_site_fract_z
Ba1 Ba 0.0000 0.0000 0.0000
Sc1 Sc 0.5000 0.0000 0.2710
Ir1 Ir 0.0000 0.0000 0.7226
Ir2 Ir 0.5000 0.0000 0.6400

***

Entry 2:
# PBE Sc3InGa, optimized geometry
# E_form, eV/atom: 0.447
# Calculated total energy, eV per atom: -4.5048
data_Sc3InGa
_space_group_name_H-M_alt 'P m -3 m'
_space_group_IT_number 221
_space_group_name_Hall '-P 4 2 3'
_cell_length_a 5.3001
_cell_length_b 5.3001
_cell_length_c 5.3001
_cell_angle_alpha 90.00
_cell_angle_beta 90.00
_cell_angle_gamma 90.00
loop_
_atom_site_label
_atom_site_type_symbol
_atom_site_fract_x
_atom_site_fract_y
_atom_site_fract_z
Sc1 Sc 0.0000 0.0000 0.5000
In1 In 0.0000 0.0000 0.0000
Ga1 Ga 0.5000 0.5000 0.5000

***

Entry 3:
# PBE Sm5Tm4Th2, optimized geometry
# E_form, eV/atom: 0.126
# Calculated total energy, eV per atom: -4.9942
data_Sm5Tm4Th2
_space_group_name_H-M_alt 'P 1 2/m 1'
_space_group_IT_number 10
_space_group_name_Hall '-P 2y'
_cell_length_a 8.7918
_cell_length_b 3.5056
_cell_length_c 11.7593
_cell_angle_alpha 90.00
_cell_angle_beta 94.29
_cell_angle_gamma 90.00
loop_
_atom_site_label
_atom_site_type_symbol
_atom_site_fract_x
_atom_site_fract_y
_atom_site_fract_z
Sm1 Sm 0.0000 0.0000 0.0000
Sm2 Sm 0.0716 0.0000 0.2916
Sm3 Sm 0.3083 0.0000 0.8392
Tm1 Tm 0.1979 0.5000 0.5464
Tm2 Tm 0.3379 0.5000 0.1091
Th1 Th 0.4618 0.0000 0.3658

***

Entry 4:
# PBE AcCuGe2Au, optimized geometry
# E_form, eV/atom: -0.542
# Calculated total energy, eV per atom: -4.6852
data_AcCuGe2Au
_space_group_name_H-M_alt 'I -4 m 2'
_space_group_IT_number 119
_space_group_name_Hall 'I -4 -2'
_cell_length_a 4.4746
_cell_length_b 4.4746
_cell_length_c 10.5250
_cell_angle_alpha 90.00
_cell_angle_beta 90.00
_cell_angle_gamma 90.00
loop_
_atom_site_label
_atom_site_type_symbol
_atom_site_fract_x
_atom_site_fract_y
_atom_site_fract_z
Ac1 Ac 0.0000 0.0000 0.0000
Cu1 Cu 0.0000 0.5000 0.7500
Ge1 Ge 0.0000 0.0000 0.3770
Au1 Au 0.0000 0.5000 0.2500

***

Entry 5:
# PBE NaSn2Ge2, optimized geometry
# E_form, eV/atom: 0.031
# Calculated total energy, eV per atom: -3.6809
data_NaSn2Ge2
_space_group_name_H-M_alt 'P 4/m b m'
_space_group_IT_number 127
_space_group_name_Hall '-P 4 2ab'
_cell_length_a 8.0623
_cell_length_b 8.0623
_cell_length_c 3.8514
_cell_angle_alpha 90.00
_cell_angle_beta 90.00
_cell_angle_gamma 90.00
loop_
_atom_site_label
_atom_site_type_symbol
_atom_site_fract_x
_atom_site_fract_y
_atom_site_fract_z
Na1 Na 0.0000 0.0000 0.0000
Sn1 Sn 0.1503 0.3497 0.5000
Ge1 Ge 0.1280 0.6280 0.0000

***

Entry 6:
# PBE CaTl4Pd4, optimized geometry
# E_form, eV/atom: -0.172
# Calculated total energy, eV per atom: -3.7542
data_CaTl4Pd4
_space_group_name_H-M_alt 'P 42/n'
_space_group_IT_number 86
_cell_length_a 8.9862
_cell_length_b 8.9862
_cell_length_c 5.5213
_cell_angle_alpha 90.00
_cell_angle_beta 90.00
_cell_angle_gamma 90.00
loop_
_space_group_symop_operation_xyz
'x,y,z'
'-x,-y,-z'
'-y,x+1/2,z+1/2'
'y,-x+1/2,-z+1/2'
'-x+1/2,-y+1/2,z'
'x+1/2,y+1/2,-z'
'y+1/2,-x,z+1/2'
'-y+1/2,x,-z+1/2'
loop_
_atom_site_label
_atom_site_type_symbol
_atom_site_fract_x
_atom_site_fract_y
_atom_site_fract_z
Ca1 Ca 0.2500 0.2500 0.2500
Tl1 Tl 0.0759 0.6433 0.1517
Pd1 Pd 0.0489 0.6163 0.6506

***

> Look up the calculated total energy of the fourth one.

-4.6852 eV per atom